No. 1
Compound: LiPr2Tl4
Source: Alexandria via LeMat-Bulk
Functional: GGA-PBE
Structure: relaxed

```
data_LiPr2Tl4
_cell_length_a 4.927
_cell_length_b 4.927
_cell_length_c 8.956
_cell_angle_alpha 105.97
_cell_angle_beta 105.97
_cell_angle_gamma 90.00
_symmetry_space_group_name_H-M 'P 1'
_symmetry_Int_Tables_number 1
loop_
_symmetry_equiv_pos_as_xyz
'x,y,z'
loop_
_atom_site_label
_atom_site_type_symbol
_atom_site_fract_x
_atom_site_fract_y
_atom_site_fract_z
Li1 Li 0.000 0.000 0.000
Pr1 Pr 0.642 0.642 0.284
Pr2 Pr 0.358 0.358 0.716
Tl1 Tl 0.835 0.835 0.670
Tl2 Tl 0.165 0.165 0.330
Tl3 Tl 0.000 0.500 0.000
Tl4 Tl 0.500 0.000 0.000
```

Calculated values
SG = I4/mmm (139)
Formation energy from the elements = -0.165 eV/atom
Magnetic moment = 0.00 Bohr magnetons per cell


No. 2
Compound: Rb4Pu3MgO12
Source: Alexandria via LeMat-Bulk
Functional: GGA-PBE
Structure: relaxed

```
data_Rb4Pu3MgO12
_cell_length_a 7.405
_cell_length_b 7.405
_cell_length_c 7.405
_cell_angle_alpha 109.47
_cell_angle_beta 109.47
_cell_angle_gamma 109.47
_symmetry_space_group_name_H-M 'P 1'
_symmetry_Int_Tables_number 1
loop_
_symmetry_equiv_pos_as_xyz
'x,y,z'
loop_
_atom_site_label
_atom_site_type_symbol
_atom_site_fract_x
_atom_site_fract_y
_atom_site_fract_z
Rb1 Rb 0.500 0.500 0.500
Rb2 Rb 0.000 0.000 0.500
Rb3 Rb 0.500 0.000 0.000
Rb4 Rb 0.000 0.500 0.000
Pu1 Pu 0.500 0.000 0.500
Pu2 Pu 0.500 0.500 0.000
Pu3 Pu 0.000 0.500 0.500
Mg1 Mg 0.000 0.000 0.000
O1 O 0.250 0.500 0.750
O2 O 0.731 0.000 0.731
O3 O 0.269 0.000 0.269
O4 O 0.750 0.500 0.250
O5 O 0.731 0.731 0.000
O6 O 0.269 0.269 0.000
O7 O 0.750 0.250 0.500
O8 O 0.250 0.750 0.500
O9 O 0.500 0.250 0.750
O10 O 0.000 0.731 0.731
O11 O 0.500 0.750 0.250
O12 O 0.000 0.269 0.269
```

Calculated values
SG = Im-3m (229)
Formation energy without anion corrections = -2.3793 eV/atom
Magnetic moment = 6.00 Bohr magnetons per cell


No. 3
Compound: Ce2SmMo2C4
Source: Alexandria via LeMat-Bulk
Functional: GGA-PBE
Structure: relaxed

```
data_Ce2SmMo2C4
_cell_length_a 3.506
_cell_length_b 7.249
_cell_length_c 6.049
_cell_angle_alpha 106.64
_cell_angle_beta 90.00
_cell_angle_gamma 103.99
_symmetry_space_group_name_H-M 'P 1'
_symmetry_Int_Tables_number 1
loop_
_symmetry_equiv_pos_as_xyz
'x,y,z'
loop_
_atom_site_label
_atom_site_type_symbol
_atom_site_fract_x
_atom_site_fract_y
_atom_site_fract_z
Ce1 Ce 0.869 0.739 0.470
Ce2 Ce 0.131 0.261 0.530
Sm1 Sm 0.000 0.000 0.000
Mo1 Mo 0.321 0.642 0.990
Mo2 Mo 0.679 0.358 0.010
C1 C 0.774 0.547 0.784
C2 C 0.226 0.453 0.216
C3 C 0.448 0.895 0.249
C4 C 0.552 0.105 0.751
```

Calculated values
SG = C2/m (12)
Formation energy from the elements = -0.012 eV/atom
Magnetic moment = 0.00 Bohr magnetons per cell


Number 1: E_tot -3.156 eV/atom. Number 2: E_tot -7.777 eV/atom. Number 3: E_tot -8.362 eV/atom.